The following is a PBE calculation of a geometry-optimized LaZrBe3 structure, from Alexandria via LeMat-Bulk.

Unit cell a=4.7460 b=4.7460 c=4.7460 alpha=90.00 beta=90.00 gamma=90.00
Last column: magnetic moment on the atom in μB.
Sites, in units of the cell vectors:
Zr (0.0000, 0.0000, 0.0000)  0.55
Be (0.0000, 0.0000, 0.5000)  0.03
Be (0.5000, 0.0000, 0.0000)  0.12
Be (0.0000, 0.5000, 0.0000)  0.08
La (0.5000, 0.5000, 0.5000)  0.00

Summary:
- ΔE to the lowest computed polymorph: 0 meV per atom
- Energy relative to the elements: 81 kJ/mol of atoms
- V: 106.9 Å³ per cell